# Te2Se2F (PBE, relaxed)
data_Te2Se2F
_chemical_formula_sum 'Te4 Se4 F2'
_cell_length_a 4.848
_cell_length_b 7.785
_cell_length_c 8.058
_cell_angle_alpha 68.04
_cell_angle_beta 89.31
_cell_angle_gamma 85.35
_space_group_name_H-M_alt 'P 1'
_space_group_IT_number 1
loop_
_space_group_symop_operation_xyz
'x,y,z'
loop_
_atom_site_label
_atom_site_type_symbol
_atom_site_fract_x
_atom_site_fract_y
_atom_site_fract_z
_atom_site_occupancy
Te1 Te 0.210 0.192 0.461 1
Te2 Te 0.220 0.741 0.985 1
Te3 Te 0.780 0.259 0.015 1
Te4 Te 0.790 0.808 0.539 1
Se1 Se 0.184 0.570 0.774 1
Se2 Se 0.440 0.030 0.223 1
Se3 Se 0.560 0.970 0.777 1
Se4 Se 0.816 0.430 0.226 1
F1 F 0.011 0.723 0.359 1
F2 F 0.989 0.277 0.641 1
# ρ: 5.11 Mg/m³
# calculated total energy: -3.47 eV per atom
# space group: P-1
# crystal system: triclinic
# formation energy from raw total energies: -0.442 eV/atom